Density functional theory data (PBE) for Th2BeB10 after structural relaxation.

```
Th2BeB10
1.0
4.1683 0.0000 0.0000
0.0000 5.5954 0.0000
0.0000 0.0000 11.0962
Th Be B
4 2 20
Direct
0.5000 0.3007 0.8659
0.5000 0.6993 0.1341
0.5000 0.8007 0.6341
0.5000 0.1993 0.3659
0.0000 0.5000 0.5000
0.0000 0.0000 0.0000
0.0000 0.1291 0.5387
0.0000 0.8709 0.4613
0.0000 0.6291 0.9613
0.0000 0.3709 0.0387
0.0000 0.1579 0.6969
0.0000 0.8421 0.3031
0.2999 0.1992 0.1118
0.2999 0.8008 0.8882
0.7001 0.6992 0.3882
0.7001 0.3008 0.6118
0.7001 0.8008 0.8882
0.7001 0.1992 0.1118
0.2999 0.3008 0.6118
0.2999 0.6992 0.3882
0.0000 0.0299 0.1860
0.0000 0.9701 0.8140
0.0000 0.5299 0.3140
0.0000 0.4701 0.6860
0.0000 0.3421 0.1969
0.0000 0.6579 0.8031
```

## Properties
As for the space group: Pbam (55). The formation energy from the elements is -7.2 eV per formula unit. The calculation puts the volume at 129.4 Å³/f.u.